1.
A plane-wave DFT calculation with PBE was carried out for an optimized crystal structure of KSiN.

abc: 4.984 5.669 10.199
angles: 90.00 90.00 90.00
Sites, in units of the cell vectors:
1 K 0.622 0.524 0.289
2 N 0.475 0.369 0.022
3 Si 0.632 0.098 0.073
4 K 0.122 0.976 0.289
5 Si 0.132 0.902 0.927
6 N 0.975 0.131 0.022
7 N 0.975 0.631 0.978
8 K 0.122 0.476 0.711
9 K 0.622 0.024 0.711
10 Si 0.632 0.598 0.927
11 N 0.475 0.869 0.978
12 Si 0.132 0.402 0.073

Summary:
space-group type = Pca2_1, No. 29
volume = 288.16 Å³/cell
ρ = 1.9 g/cm3
raw formation energy = -0.41 eV/atom

=====

2.
A plane-wave DFT calculation with PBE was carried out for an optimized crystal structure of KSiSnN2.

abc: 3.967 5.487 3.967
angles: 90.00 90.00 90.00
Sites, in units of the cell vectors:
1 N 0.500 0.000 0.000
2 Sn 0.500 0.500 0.500
3 N 0.000 0.000 0.500
4 Si 0.000 0.000 0.000
5 K 0.000 0.500 0.000

Summary:
space-group type = P4/mmm, No. 123
volume = 86.34 Å³/cell
ρ = 4.1 g/cm3
raw formation energy = 1.42 eV/atom

=====

3.
A plane-wave DFT calculation with PBE was carried out for an optimized crystal structure of K2SiSnN.

abc: 6.429 3.432 6.429
angles: 90.00 90.00 90.00
Sites, in units of the cell vectors:
1 N 0.000 0.000 0.000
2 K 0.000 0.000 0.500
3 Si 0.000 0.500 0.000
4 K 0.500 0.000 0.000
5 Sn 0.500 0.500 0.500

Summary:
space-group type = P4/mmm, No. 123
volume = 141.85 Å³/cell
ρ = 2.8 g/cm3
raw formation energy = 0.13 eV/atom

=====

4.
A plane-wave DFT calculation with PBE was carried out for an optimized crystal structure of K2SrSiN.

abc: 7.507 3.569 7.507
angles: 90.00 90.00 90.00
Sites, in units of the cell vectors:
1 K 0.500 0.000 0.000
2 N 0.000 0.500 0.000
3 Si 0.000 0.000 0.000
4 Sr 0.500 0.500 0.500
5 K 0.000 0.000 0.500

Summary:
space-group type = P4/mmm, No. 123
volume = 201.18 Å³/cell
ρ = 1.7 g/cm3
raw formation energy = 0.52 eV/atom
ΔE to the lowest computed polymorph = 0.0 kJ/mol of atoms

=====

Number 1: spin magnetization 0.000 μB per formula unit. Number 2: spin magnetization 0.000 μB per formula unit. Number 3: spin magnetization 0.000 μB per formula unit. Number 4: spin magnetization 0.000 μB per formula unit.